(1)
## TbAl2Fe9 (PBE)

Data for a relaxed structure of TbAl2Fe9.

The space-group type is No. 127. The value obtained for the uncorrected energy is -7.505 eV per atom. For the relative energy among the computed polymorphs, the calculation gives 0.0 meV per atom. As for the formation enthalpy at 0 K: -147.9 meV per atom.

Cell lengths 4.6318, 8.0619, 8.0619 Å; angles 90.00, 90.00, 90.00 degrees
With the nearest neighbours (Å) after each atom.
Fractional coordinates of all 24 atoms:
Fe (0.5000, 0.4325, 0.7118)  8 Fe 2.39-2.53
Fe (0.5000, 0.5675, 0.2882)  8 Fe 2.39-2.53
Al (0.0000, 0.8796, 0.6204)  12 Fe 2.55-2.72, 1 Al 2.74
Fe (0.5000, 0.0000, 0.5000)  8 Fe 2.36-2.39
Fe (0.7684, 0.8238, 0.3238)  2 Fe 2.15-2.36
Fe (0.7684, 0.1762, 0.6762)  2 Fe 2.15-2.36
Tb (0.0000, 0.0000, 0.0000)  16 Fe 2.93-3.16, 4 Al 3.21
Fe (0.7684, 0.6762, 0.8238)  2 Fe 2.15-2.36
Fe (0.5000, 0.7118, 0.5675)  8 Fe 2.39-2.53
Fe (0.2316, 0.6762, 0.8238)  2 Fe 2.15-2.36
Al (0.0000, 0.3796, 0.8796)  12 Fe 2.55-2.72, 1 Al 2.74
Al (0.0000, 0.1204, 0.3796)  12 Fe 2.55-2.72, 1 Al 2.74
Fe (0.7684, 0.3238, 0.1762)  2 Fe 2.15-2.36
Fe (0.5000, 0.9325, 0.7882)  8 Fe 2.39-2.53
Al (0.0000, 0.6204, 0.1204)  12 Fe 2.55-2.72, 1 Al 2.74
Tb (0.0000, 0.5000, 0.5000)  16 Fe 2.93-3.16, 4 Al 3.21
Fe (0.5000, 0.2118, 0.9325)  8 Fe 2.39-2.53
Fe (0.5000, 0.2882, 0.4325)  8 Fe 2.39-2.53
Fe (0.5000, 0.7882, 0.0675)  8 Fe 2.39-2.53
Fe (0.2316, 0.1762, 0.6762)  2 Fe 2.15-2.36
Fe (0.2316, 0.3238, 0.1762)  2 Fe 2.15-2.36
Fe (0.5000, 0.5000, 0.0000)  8 Fe 2.36-2.39
Fe (0.2316, 0.8238, 0.3238)  2 Fe 2.15-2.36
Fe (0.5000, 0.0675, 0.2118)  8 Fe 2.39-2.53



(2)
## Tb3Pm6Pr2Ho (PBE)

Data for a relaxed structure of Tb3Pm6Pr2Ho.

The space-group type is No. 12. The value obtained for the uncorrected energy is -4.697 eV per atom. As for the formation enthalpy at 0 K: 14.2 meV per atom.

Cell lengths 6.2872, 6.2872, 12.0222 Å; angles 95.01, 95.01, 119.99 degrees
With the nearest neighbours (Å) after each atom.
Fractional coordinates of all 12 atoms:
Pm (0.7522, 0.7522, 0.2529)  3 Tb 3.59-3.60, 6 Pm 3.62-3.64, 1 Ho 3.65, 2 Pr 3.66
Ho (0.0000, 0.0000, 0.0000)  6 Pr 3.63, 6 Pm 3.65
Pm (0.4160, 0.0841, 0.2526)  3 Tb 3.60-3.61, 6 Pm 3.61-3.64, 1 Ho 3.65, 2 Pr 3.65
Pm (0.2478, 0.2478, 0.7471)  3 Tb 3.59-3.60, 6 Pm 3.62-3.64, 1 Ho 3.65, 2 Pr 3.66
Tb (0.8336, 0.1664, 0.5000)  6 Pm 3.59-3.61, 6 Tb 3.62-3.63
Pm (0.0841, 0.4160, 0.2526)  3 Tb 3.60-3.61, 6 Pm 3.61-3.64, 1 Ho 3.65, 2 Pr 3.65
Pm (0.5840, 0.9159, 0.7474)  3 Tb 3.60-3.61, 6 Pm 3.61-3.64, 1 Ho 3.65, 2 Pr 3.65
Pr (0.6667, 0.3333, 0.0000)  3 Ho 3.63, 3 Pr 3.63, 6 Pm 3.65-3.66
Tb (0.5000, 0.5000, 0.5000)  6 Pm 3.60, 6 Tb 3.63
Tb (0.1664, 0.8336, 0.5000)  6 Pm 3.59-3.61, 6 Tb 3.62-3.63
Pm (0.9159, 0.5840, 0.7474)  3 Tb 3.60-3.61, 6 Pm 3.61-3.64, 1 Ho 3.65, 2 Pr 3.65
Pr (0.3333, 0.6667, 0.0000)  3 Ho 3.63, 3 Pr 3.63, 6 Pm 3.65-3.66



(3)
## TeOsCl2 (PBE)

Data for a relaxed structure of TeOsCl2.

The space-group type is No. 35. The value obtained for the uncorrected energy is -3.994 eV per atom. For the relative energy among the computed polymorphs, the calculation gives 566.4 meV per atom. The formation energy from raw total energies is 0.522 eV per atom.

Cell lengths 3.2963, 3.2963, 9.2919 Å; angles 90.00, 90.00, 122.47 degrees
With the nearest neighbours (Å) after each atom.
Fractional coordinates of all 4 atoms:
Te (0.5000, 0.5000, 0.7298)  2 Os 2.73, 2 Cl 2.82
Cl (0.0000, 0.0000, 0.9803)  2 Te 2.82
Os (0.0000, 0.0000, 0.4909)  2 Cl 2.39
Cl (0.5000, 0.5000, 0.2990)  2 Os 2.39



(4)
## Rb2ScOsF6 (PBE)

Data for a relaxed structure of Rb2ScOsF6.

The space-group type is No. 139. The value obtained for the uncorrected energy is -5.356 eV per atom. The formation energy from raw total energies is -2.284 eV per atom.

Cell lengths 6.3158, 6.3158, 6.1362 Å; angles 59.03, 59.03, 90.00 degrees
With the nearest neighbours (Å) after each atom.
Fractional coordinates of all 10 atoms:
F (0.7435, 0.7435, 0.5130)  1 Sc 2.05, 1 Os 2.16
Rb (0.7500, 0.2500, 0.5000)  12 F 3.07-3.16
F (0.7285, 0.7285, 0.0000)  1 Sc 2.04
Os (0.0000, 0.0000, 0.0000)  2 F 2.16
F (0.2715, 0.2715, 0.0000)  1 Sc 2.04
F (0.2565, 0.2565, 0.4870)  1 Sc 2.05, 1 Os 2.16
F (0.7285, 0.2715, 0.0000)  1 Sc 2.04
Sc (0.5000, 0.5000, 0.0000)  6 F 2.04-2.05
F (0.2715, 0.7285, 0.0000)  1 Sc 2.04
Rb (0.2500, 0.7500, 0.5000)  12 F 3.07-3.16



(5)
## PbSeN (PBE)

Data for a relaxed structure of PbSeN.

The space-group type is No. 8. The value obtained for the uncorrected energy is -4.559 eV per atom. For the relative energy among the computed polymorphs, the calculation gives 947.4 meV per atom. The formation energy from raw total energies is 0.613 eV per atom.

Cell lengths 3.8192, 3.8192, 10.5671 Å; angles 93.31, 93.31, 55.29 degrees
With the nearest neighbours (Å) after each atom.
Fractional coordinates of all 6 atoms:
Se (0.2824, 0.2824, 0.5677)  2 N 2.41, 2 Se 2.61
Se (0.6780, 0.6780, 0.7321)  1 N 1.93
Pb (0.1604, 0.1604, 0.9988)  3 N 2.40-2.46
N (0.8171, 0.8171, 0.4160)  3 Pb 2.36-2.45, 2 Se 2.41
Pb (0.4973, 0.4973, 0.3128)  3 N 2.36-2.45
N (0.8243, 0.8243, 0.8946)  1 Se 1.93



(6)
## GdHg2I4 (PBE)

Data for a relaxed structure of GdHg2I4.

The space-group type is No. 139. The value obtained for the uncorrected energy is -3.633 eV per atom. The formation energy from raw total energies is -0.649 eV per atom.

Cell lengths 6.2140, 6.2140, 9.3257 Å; angles 70.54, 70.54, 90.00 degrees
With the nearest neighbours (Å) after each atom.
Fractional coordinates of all 7 atoms:
Hg (0.3772, 0.3772, 0.2455)  1 I 3.26
I (0.1794, 0.1794, 0.6413)  1 Gd 2.95, 1 Hg 3.26
I (0.8206, 0.8206, 0.3587)  1 Gd 2.95, 1 Hg 3.26
I (0.5000, 0.0000, 0.0000)  2 Gd 3.11
Hg (0.6228, 0.6228, 0.7545)  1 I 3.26
I (0.0000, 0.5000, 0.0000)  2 Gd 3.11
Gd (0.0000, 0.0000, 0.0000)  6 I 2.95-3.11



(7)
## Sn2PdAu (PBE)

Data for a relaxed structure of Sn2PdAu.

The space-group type is No. 51. The value obtained for the uncorrected energy is -4.362 eV per atom. For the relative energy among the computed polymorphs, the calculation gives 110.3 meV per atom. As for the formation enthalpy at 0 K: -243.2 meV per atom.

Cell lengths 4.2471, 5.5983, 7.3249 Å; angles 90.00, 89.99, 90.00 degrees
With the nearest neighbours (Å) after each atom.
Fractional coordinates of all 8 atoms:
Au (0.0000, 0.0000, 0.5000)  2 Au 2.80, 4 Pd 2.88, 4 Sn 3.04
Sn (0.9999, 0.2500, 0.9136)  2 Pd 2.71
Sn (0.5000, 0.2500, 0.2733)  3 Pd 2.82-3.01, 4 Au 3.04
Au (0.0000, 0.5000, 0.5000)  2 Au 2.80, 4 Pd 2.88, 4 Sn 3.04
Sn (0.0001, 0.7500, 0.0864)  2 Pd 2.71
Pd (0.4999, 0.2500, 0.6847)  5 Sn 2.71-3.01, 4 Au 2.88
Pd (0.5001, 0.7500, 0.3153)  5 Sn 2.71-3.01, 4 Au 2.88
Sn (0.5000, 0.7500, 0.7267)  3 Pd 2.82-3.01, 4 Au 3.04



(8)
## Ac4PrP5 (PBE)

Data for a relaxed structure of Ac4PrP5.

The space-group type is No. 87. The value obtained for the uncorrected energy is -6.290 eV per atom. As for the formation enthalpy at 0 K: -1464.1 meV per atom.

Cell lengths 6.2300, 7.6252, 7.6252 Å; angles 80.39, 65.89, 65.89 degrees
With the nearest neighbours (Å) after each atom.
Fractional coordinates of all 10 atoms:
P (0.0983, 0.6093, 0.1961)  1 Pr 3.04, 5 Ac 3.12-3.18
Ac (0.4019, 0.3981, 0.8001)  6 P 3.10-3.18
Ac (0.8001, 0.8001, 0.6019)  6 P 3.10-3.18
P (0.5010, 0.0000, 0.0000)  4 Ac 3.10, 2 Pr 3.11-3.12
P (0.7076, 0.1961, 0.3907)  1 Pr 3.04, 5 Ac 3.12-3.18
Ac (0.2021, 0.1999, 0.3981)  6 P 3.10-3.18
P (0.2944, 0.8039, 0.6093)  1 Pr 3.04, 5 Ac 3.12-3.18
P (0.9037, 0.3907, 0.8039)  1 Pr 3.04, 5 Ac 3.12-3.18
Ac (0.6002, 0.6019, 0.1999)  6 P 3.10-3.18
Pr (0.0009, 0.0000, 0.0000)  6 P 3.04-3.12



(9)
## LaTeBr6 (PBE)

Data for a relaxed structure of LaTeBr6.

The space-group type is No. 2. The value obtained for the uncorrected energy is -3.277 eV per atom. The formation energy from raw total energies is -1.014 eV per atom.

Cell lengths 7.2260, 7.5739, 7.6677 Å; angles 64.84, 63.28, 56.43 degrees
With the nearest neighbours (Å) after each atom.
Fractional coordinates of all 8 atoms:
Br (0.7611, 0.0695, 0.7651)  1 Te 2.74, 1 La 3.05
Br (0.2389, 0.9305, 0.2349)  1 Te 2.74, 1 La 3.05
Br (0.9030, 0.5650, 0.2654)  1 La 2.84
Te (0.0000, 0.0000, 0.0000)  4 Br 2.74-2.75
La (0.5000, 0.5000, 0.5000)  6 Br 2.84-3.05
Br (0.5833, 0.2296, 0.2475)  1 Te 2.75, 1 La 3.04
Br (0.0970, 0.4350, 0.7346)  1 La 2.84
Br (0.4167, 0.7704, 0.7525)  1 Te 2.75, 1 La 3.04



(10)
## Sb2CI2 (PBE)

Data for a relaxed structure of Sb2CI2.

The space-group type is No. 127. The value obtained for the uncorrected energy is -2.859 eV per atom. For the relative energy among the computed polymorphs, the calculation gives 0.0 meV per atom. The formation energy from raw total energies is 1.255 eV per atom.

Cell lengths 6.8607, 6.8607, 6.2311 Å; angles 90.00, 90.00, 90.00 degrees
With the nearest neighbours (Å) after each atom.
Fractional coordinates of all 10 atoms:
I (0.2122, 0.7122, 0.0000)  2 C 2.45
C (0.5000, 0.5000, 0.0000)  4 I 2.45
I (0.7122, 0.7878, 0.0000)  2 C 2.45
I (0.7878, 0.2878, 0.0000)  2 C 2.45
Sb (0.2615, 0.2385, 0.5000)  2 I 3.13, 4 Sb 3.43
Sb (0.2385, 0.7385, 0.5000)  2 I 3.13, 4 Sb 3.43
Sb (0.7385, 0.7615, 0.5000)  2 I 3.13, 4 Sb 3.43
I (0.2878, 0.2122, 0.0000)  2 C 2.45
C (0.0000, 0.0000, 0.0000)  4 I 2.45
Sb (0.7615, 0.2615, 0.5000)  2 I 3.13, 4 Sb 3.43



(11)
## CsRb5Hg4 (PBE)

Data for a relaxed structure of CsRb5Hg4.

The space-group type is No. 12. The value obtained for the uncorrected energy is -0.867 eV per atom. As for the formation enthalpy at 0 K: -177.4 meV per atom.

Cell lengths 5.2750, 9.9003, 13.7164 Å; angles 122.60, 101.09, 90.00 degrees
With the nearest neighbours (Å) after each atom.
Fractional coordinates of all 10 atoms:
Rb (0.1868, 0.7749, 0.3735)  4 Hg 3.71-3.98
Rb (0.1752, 0.2758, 0.3505)  3 Hg 3.73-3.81
Hg (0.6365, 0.9544, 0.2730)  2 Hg 3.13
Rb (0.8248, 0.7242, 0.6495)  3 Hg 3.73-3.81
Hg (0.9383, 0.1677, 0.8765)  2 Hg 3.13
Hg (0.3635, 0.0456, 0.7270)  2 Hg 3.13
Cs (0.5000, 0.0000, 0.0000)  6 Hg 3.94
Hg (0.0617, 0.8323, 0.1235)  2 Hg 3.13
Rb (0.8132, 0.2251, 0.6265)  4 Hg 3.71-3.98
Rb (0.5000, 0.5000, 0.0000)  6 Hg 3.81-3.95



(12)
## Pr3Ga2Co (PBE)

Data for a relaxed structure of Pr3Ga2Co.

The space-group type is No. 62. The value obtained for the uncorrected energy is -4.989 eV per atom. As for the formation enthalpy at 0 K: -405.9 meV per atom.

Cell lengths 4.1487, 12.0528, 12.2261 Å; angles 90.00, 90.00, 90.00 degrees
With the nearest neighbours (Å) after each atom.
Fractional coordinates of all 24 atoms:
Pr (0.7500, 0.9482, 0.1167)  3 Co 2.94-3.16, 5 Ga 3.11-3.17
Pr (0.2500, 0.7065, 0.2306)  2 Co 2.86, 1 Ga 3.07
Pr (0.7500, 0.6289, 0.9551)  5 Ga 3.06-3.29, 1 Co 3.20
Ga (0.2500, 0.4960, 0.8054)  1 Co 2.54
Co (0.7500, 0.6208, 0.3677)  3 Ga 2.54-2.61
Pr (0.2500, 0.4482, 0.3833)  3 Co 2.94-3.16, 5 Ga 3.11-3.17
Ga (0.7500, 0.1865, 0.0195)  2 Co 2.61
Co (0.2500, 0.1208, 0.1323)  3 Ga 2.54-2.61
Pr (0.7500, 0.8711, 0.4551)  5 Ga 3.06-3.29, 1 Co 3.20
Pr (0.2500, 0.3711, 0.0449)  5 Ga 3.06-3.29, 1 Co 3.20
Ga (0.2500, 0.0040, 0.3054)  1 Co 2.54
Ga (0.7500, 0.9960, 0.6946)  1 Co 2.54
Pr (0.2500, 0.1289, 0.5449)  5 Ga 3.06-3.29, 1 Co 3.20
Pr (0.7500, 0.5518, 0.6167)  3 Co 2.94-3.16, 5 Ga 3.11-3.17
Ga (0.7500, 0.3135, 0.5195)  2 Co 2.61
Pr (0.7500, 0.2935, 0.7694)  2 Co 2.86, 1 Ga 3.07
Co (0.7500, 0.8792, 0.8677)  3 Ga 2.54-2.61
Pr (0.7500, 0.2065, 0.2694)  2 Co 2.86, 1 Ga 3.07
Ga (0.2500, 0.6865, 0.4805)  2 Co 2.61
Co (0.2500, 0.3792, 0.6323)  3 Ga 2.54-2.61
Ga (0.2500, 0.8135, 0.9805)  2 Co 2.61
Pr (0.2500, 0.0518, 0.8833)  3 Co 2.94-3.16, 5 Ga 3.11-3.17
Ga (0.7500, 0.5040, 0.1946)  1 Co 2.54
Pr (0.2500, 0.7935, 0.7306)  2 Co 2.86, 1 Ga 3.07



What is the uncorrected energy in the sixth record? -3.633 eV per atom